(1)
The following is a DFT calculation (PBE-GGA) of a relaxed Rb3TaTl2Se6 crystal.

Cell: 7.450 7.450 8.170 Å, 98.74 98.74 119.94°
Atoms (fractional coordinates):
1 Tl 0.336 0.664 0.000
2 Tl 0.664 0.336 0.000
3 Se 0.647 0.936 0.810
4 Se 0.221 0.221 0.805
5 Se 0.936 0.647 0.810
6 Se 0.779 0.779 0.195
7 Se 0.353 0.064 0.190
8 Se 0.064 0.353 0.190
9 Rb 0.179 0.821 0.500
10 Rb 0.821 0.179 0.500
11 Rb 0.500 0.500 0.500
12 Ta 0.000 0.000 0.000

Computed properties:
V (A^3/atom): 31.198
VASP energy (eV per atom): -4.14
D(E_F) (states/eV per cell): 2.3
Formation energy (no corrections) (eV per atom): -0.772

(2)
The following is a DFT calculation (PBE-GGA) of a relaxed Rb2TaTlSe crystal.

Cell: 6.958 5.480 6.958 Å, 90.00 90.00 90.00°
Atoms (fractional coordinates):
1 Ta 0.500 0.500 0.500
2 Rb 0.500 0.000 0.000
3 Rb 0.000 0.000 0.500
4 Se 0.000 0.500 0.000
5 Tl 0.000 0.000 0.000

Computed properties:
V (A^3/atom): 53.061
VASP energy (eV per atom): -2.74
D(E_F) (states/eV per cell): 5.0
Formation energy (no corrections) (eV per atom): 1.188